#i
Ca2AcEu after structural relaxation, computed with PBE.

Summary:
Calculated density (Mg/m³): 4.42
Space-group type: P4/mmm (123)
Total magnetic moment (Bohr magnetons per cell): 8.06

Cell: 5.747 5.479 5.479 Å, 90.00 90.00 90.00°
Sites, in units of the cell vectors:
Eu: 0.500 0.500 0.500
Ac: 0.500 0.000 0.000
Ca: 0.000 0.000 0.500
Ca: 0.000 0.500 0.000

#ii
Ca2AcEu after structural relaxation, computed with PBE.

Summary:
Calculated density (Mg/m³): 4.36
Space-group type: R-3m (166)
Total magnetic moment (Bohr magnetons per cell): 7.47

Cell: 3.811 3.811 14.078 Å, 82.22 82.22 60.00°
Sites, in units of the cell vectors:
Eu: 0.500 0.500 0.500
Ac: 0.000 0.000 0.000
Ca: 0.089 0.089 0.733
Ca: 0.911 0.911 0.267

Stability, lowest: #ii

#i
Ca2AcGa after structural relaxation, computed with PBE.

Summary:
Calculated density (Mg/m³): 4.34
Space-group type: R3m (160)
Total magnetic moment (Bohr magnetons per cell): 0.00

Cell: 3.900 3.900 11.168 Å, 79.94 79.94 60.00°
Sites, in units of the cell vectors:
Ca: 0.064 0.064 0.807
Ca: 0.269 0.269 0.194
Ac: 0.501 0.501 0.497
Ga: 0.666 0.666 0.001

#ii
Ca2AcGa after structural relaxation, computed with PBE.

Summary:
Calculated density (Mg/m³): 4.49
Space-group type: Cmcm (63)
Total magnetic moment (Bohr magnetons per cell): 0.00

Cell: 3.944 7.302 10.061 Å, 90.00 90.00 105.65°
Sites, in units of the cell vectors:
Ca: 0.146 0.292 0.440
Ca: 0.854 0.708 0.560
Ca: 0.854 0.708 0.940
Ca: 0.146 0.292 0.060
Ac: 0.442 0.884 0.250
Ac: 0.558 0.116 0.750
Ga: 0.759 0.517 0.250
Ga: 0.241 0.483 0.750

Stability, lowest: #i